# MnTcCl2 (meta-GGA SCAN, single point on PBEsol structure)
# Excess energy over the best structure of this formula in the dataset: 53 meV/atom
# Energy relative to the elements, uncorrected: 0.247 eV/atom
# Final energy: -68.28 eV/f.u.
data_MnTcCl2
_chemical_formula_sum 'Mn4 Tc4 Cl8'
_symmetry_space_group_name_H-M 'F m -3 m'
_symmetry_Int_Tables_number 225
_symmetry_space_group_name_Hall '-F 4 2 3'
_cell_length_a 6.1745
_cell_length_b 6.1745
_cell_length_c 6.1745
_cell_angle_alpha 90.00
_cell_angle_beta 90.00
_cell_angle_gamma 90.00
loop_
_atom_site_label
_atom_site_fract_x
_atom_site_fract_y
_atom_site_fract_z
_atom_site_occupancy
Mn1 0.0000 0.0000 0.0000 1
Tc1 0.0000 0.0000 0.5000 1
Cl1 0.2500 0.2500 0.2500 1